a | # AcGeAu4

A relaxed AcGeAu4 crystal (GGA-PBE, Alexandria via LeMat-Bulk).

Unit cell a=8.101 b=8.101 c=8.101 alpha=90.00 beta=90.00 gamma=90.00
Space group F-43m (No. 216)
One atom of each set of equivalent atoms:
Ac  0.000  0.000  0.000
Ge  0.250  0.250  0.250
Au  0.124  0.124  0.624

Summary:
Crystal system: cubic
Total magnetization (μB/atom): 0.000


b | # AcGeAu4

A relaxed AcGeAu4 crystal (GGA-PBE, Alexandria via LeMat-Bulk).

Unit cell a=5.220 b=14.847 c=7.184 alpha=90.00 beta=90.00 gamma=90.00
Space group Cmcm (No. 63)
One atom of each set of equivalent atoms:
Ac  0.000  0.109  0.250
Ge  0.000  0.373  0.250
Au  0.000  0.106  0.750
Au  0.000  0.285  0.559
Au  0.000  0.500  0.000

Summary:
Crystal system: orthorhombic
Total magnetization (μB/atom): 0.000


Energy ordering: b at the bottom, the next structure 48 meV/atom above.


a | # Ac2Ge3Au5

A relaxed Ac2Ge3Au5 crystal (GGA-PBE, Alexandria via LeMat-Bulk).

Unit cell a=10.497 b=13.227 c=6.547 alpha=90.00 beta=90.00 gamma=90.00
Space group Ibam (No. 72)
One atom of each set of equivalent atoms:
Ac  0.244  0.128  0.000
Ge  0.000  0.000  0.250
Ge  0.134  0.380  0.000
Au  0.000  0.265  0.250
Au  0.000  0.500  0.250
Au  0.124  0.119  0.500

Summary:
Crystal system: orthorhombic
Total magnetization (μB/atom): 0.000


b | # Ac2Ge3Au5

A relaxed Ac2Ge3Au5 crystal (GGA-PBE, Alexandria via LeMat-Bulk).

Unit cell a=4.904 b=4.904 c=9.781 alpha=90.00 beta=90.00 gamma=90.00
Space group P-4m2 (No. 115)
One atom of each set of equivalent atoms:
Ac  0.000  0.500  0.241
Ge  0.000  0.500  0.607
Ge  0.500  0.500  0.500
Au  0.000  0.000  0.000
Au  0.000  0.000  0.500
Au  0.000  0.500  0.861
Au  0.500  0.500  0.000

Summary:
Crystal system: tetragonal
Total magnetization (μB/atom): 0.000


Energy ordering: a at the bottom, the next structure 83 meV/atom above.


a | # Ac3Ge3Au

A relaxed Ac3Ge3Au crystal (GGA-PBE, Alexandria via LeMat-Bulk).

Unit cell a=4.430 b=4.602 c=19.717 alpha=90.00 beta=90.00 gamma=90.00
Space group Imm2 (No. 44)
One atom of each set of equivalent atoms:
Ac  0.000  0.000  0.000
Ac  0.000  0.000  0.367
Ac  0.000  0.500  0.685
Ge  0.000  0.000  0.541
Ge  0.000  0.000  0.827
Ge  0.000  0.500  0.247
Au  0.000  0.500  0.117

Summary:
Crystal system: orthorhombic
Total magnetization (μB/atom): 0.034


b | # Ac3Ge3Au

A relaxed Ac3Ge3Au crystal (GGA-PBE, Alexandria via LeMat-Bulk).

Unit cell a=9.2824 b=9.2824 c=6.3654 alpha=90.00 beta=90.00 gamma=120.00
Space group P6_3/m (No. 176)
One atom of each set of equivalent atoms:
Ac  0.0644  0.3639  0.2500
Ge  0.0672  0.3770  0.7500
Au  0.3333  0.6667  0.7500

Summary:
Crystal system: hexagonal
Total magnetization (μB/atom): 0.000


Energy ordering: a at the bottom, the next structure 236 meV/atom above.


a | # AcHAu

A relaxed AcHAu crystal (GGA-PBE, Alexandria via LeMat-Bulk).

Unit cell a=5.302 b=4.001 c=6.980 alpha=90.00 beta=110.19 gamma=90.00
Space group Pm (No. 6)
One atom of each set of equivalent atoms:
Ac  0.000  0.000  0.000
Ac  0.281  0.000  0.593
H  0.108  0.500  0.801
H  0.787  0.000  0.597
Au  0.533  0.500  0.971
Au  0.633  0.000  0.304

Summary:
Crystal system: monoclinic
Total magnetization (μB/atom): 0.000


b | # AcHAu

A relaxed AcHAu crystal (GGA-PBE, Alexandria via LeMat-Bulk).

Unit cell a=4.389 b=4.389 c=7.651 alpha=90.00 beta=90.00 gamma=90.00
Space group I4mm (No. 107)
One atom of each set of equivalent atoms:
Ac  0.000  0.000  0.000
H  0.000  0.000  0.664
Au  0.000  0.000  0.429

Summary:
Crystal system: tetragonal
Total magnetization (μB/atom): 0.000


c | # AcHAu

A relaxed AcHAu crystal (GGA-PBE, Alexandria via LeMat-Bulk).

Unit cell a=4.2437 b=4.2437 c=4.4238 alpha=90.00 beta=90.00 gamma=120.00
Space group P3m1 (No. 156)
One atom of each set of equivalent atoms:
Ac  0.0000  0.0000  0.0000
H  0.6667  0.3333  0.0019
Au  0.3333  0.6667  0.5001

Summary:
Crystal system: trigonal
Total magnetization (μB/atom): 0.000


d | # AcHAu

A relaxed AcHAu crystal (GGA-PBE, Alexandria via LeMat-Bulk).

Unit cell a=4.236 b=4.359 c=7.151 alpha=90.00 beta=103.12 gamma=90.00
Space group P2_1/m (No. 11)
One atom of each set of equivalent atoms:
Ac  0.175  0.250  0.302
H  0.250  0.750  0.497
Au  0.396  0.250  0.870

Summary:
Crystal system: monoclinic
Total magnetization (μB/atom): 0.000


Energy ordering: d at the bottom, the next structure 187 meV/atom above.